1.
Fe3SnCl, relaxed, DFT GGA-PBE; ΔE_f (raw) = 1.283 eV per atom; space group = Pm-3m; relative energy among the computed polymorphs = 578 meV/atom; crystal system = cubic
1.0
-1.8454 4.4829 -1.3482
-3.7410 -2.2834 -2.4718
-2.8140 0.0958 4.1703
Fe Sn Cl
3 1 1
Direct
0.5000 0.0000 0.0000
0.0000 0.5000 0.0000
0.0000 0.0000 0.5000
0.0000 0.0000 0.0000
0.5000 0.5000 0.5000

2.
Y2FeRhN, relaxed, DFT GGA-PBE; ΔE_f (raw) = -0.831 eV per atom; space group = P4/mmm; crystal system = tetragonal
1.0
4.8949 0.0000 0.0000
0.0000 4.8949 0.0000
0.0000 0.0000 3.5607
Y N Fe Rh
2 1 1 1
Direct
0.0000 0.5000 0.0000
0.5000 0.0000 0.0000
0.0000 0.0000 0.0000
0.0000 0.0000 0.5000
0.5000 0.5000 0.5000

3.
Ba2ZnHPd, relaxed, DFT GGA-PBE; space group = P4/mmm; relative energy among the computed polymorphs = 127 meV/atom; crystal system = tetragonal
1.0
5.4658 0.0000 0.0000
0.0000 5.4658 0.0000
0.0000 0.0000 4.2188
H Zn Ba Pd
1 1 2 1
Direct
0.0000 0.0000 0.0000
0.0000 0.0000 0.5000
0.0000 0.5000 0.0000
0.5000 0.0000 0.0000
0.5000 0.5000 0.5000

4.
BiSb2ICl, relaxed, DFT GGA-PBE; ΔE_f (raw) = 0.590 eV per atom; space group = P4/mmm; relative energy among the computed polymorphs = 0 meV/atom; crystal system = tetragonal
1.0
5.9808 0.0000 0.0000
0.0000 5.9808 0.0000
0.0000 0.0000 6.0392
Sb Cl Bi I
2 1 1 1
Direct
0.0000 0.5000 0.0000
0.5000 0.0000 0.0000
0.5000 0.5000 0.5000
0.0000 0.0000 0.0000
0.0000 0.0000 0.5000

5.
NpFe4Ge, relaxed, DFT GGA-PBE; formation enthalpy at 0 K = 46 meV/atom; space group = F-43m; crystal system = cubic
1.0
4.9029 0.0000 0.0000
2.4515 4.2461 0.0000
2.4515 1.4154 4.0032
Fe Ge Np
4 1 1
Direct
0.6267 0.1198 0.6267
0.1198 0.6267 0.6267
0.6267 0.6267 0.6267
0.6267 0.6267 0.1198
0.0000 0.0000 0.0000
0.2500 0.2500 0.2500

6.
La5Pr3Nd, relaxed, DFT GGA-PBE; formation enthalpy at 0 K = 224 meV/atom; space group = I4/mcm; crystal system = tetragonal
1.0
9.0532 0.0000 0.0000
0.0000 9.0532 0.0000
-4.5266 -4.5266 8.0206
Pr La Nd
6 10 2
Direct
0.1193 0.3807 0.0000
0.6193 0.1193 0.0000
0.2500 0.2500 0.5000
0.3807 0.8807 0.0000
0.7500 0.7500 0.5000
0.8807 0.6193 0.0000
0.4375 0.3393 0.2767
0.0625 0.5625 0.7233
0.8393 0.9375 0.2767
0.5625 0.6607 0.7233
0.3393 0.8393 0.2767
0.1607 0.0625 0.7233
0.5000 0.5000 0.0000
0.0000 0.0000 0.0000
0.6607 0.1607 0.7233
0.9375 0.4375 0.2767
0.2500 0.7500 0.5000
0.7500 0.2500 0.5000

7.
Sc2Sn2Bi, relaxed, DFT GGA-PBE; formation enthalpy at 0 K = -439 meV/atom; space group = P4/mbm; relative energy among the computed polymorphs = 0 meV/atom; crystal system = tetragonal
1.0
-7.5483 -0.7097 -1.4268
1.5773 -2.3410 -7.1797
0.1273 -4.0933 1.3627
Sn Sc Bi
4 4 2
Direct
0.1377 0.6377 0.5000
0.8623 0.3623 0.5000
0.6377 0.8623 0.5000
0.3623 0.1377 0.5000
0.1640 0.3360 0.0000
0.6640 0.1640 0.0000
0.8360 0.6640 0.0000
0.3360 0.8360 0.0000
0.5000 0.5000 0.0000
0.0000 0.0000 0.0000

8.
TlBRh3, relaxed, DFT GGA-PBE; formation enthalpy at 0 K = 352 meV/atom; space group = R-3c; crystal system = trigonal
1.0
4.1652 0.0000 3.4036
-2.0826 3.6072 3.4036
-2.0826 -3.6072 3.4036
Rh Tl B
6 2 2
Direct
0.0262 0.4738 0.7500
0.2500 0.9738 0.5262
0.5262 0.2500 0.9738
0.4738 0.7500 0.0262
0.7500 0.0262 0.4738
0.9738 0.5262 0.2500
0.0000 0.0000 0.0000
0.5000 0.5000 0.5000
0.2500 0.2500 0.2500
0.7500 0.7500 0.7500

We obtain final energy values of -4.9641; -8.2441; -3.0170; -2.5142; -8.5222; -4.6363; -5.3492; -5.8675 eV/atom for the records listed above, in that order.
We obtain density of states at the Fermi level values of 1.886; 0.620; 0.538; 1.035; 2.016; 1.750; 0.390; 1.346 states/eV per atom for the records listed above, in that order.
We obtain total magnetization values of 10.8; 0.8; 0.0; 1.9; 3.5; 0.0; 0.0; 0.0 Bohr magnetons per cell for the records listed above, in that order.